Model i:
# PuVNi

A geometry-optimized PuVNi structure (PBE-GGA, the Alexandria database).

Structure (CIF):
```
data_PuVNi
_space_group_name_H-M_alt 'P 1'
_space_group_IT_number 1
_cell_length_a 4.5585
_cell_length_b 4.5585
_cell_length_c 2.3804
_cell_angle_alpha 90.00
_cell_angle_beta 90.00
_cell_angle_gamma 120.00
loop_
_space_group_symop_operation_xyz
'x,y,z'
loop_
_atom_site_label
_atom_site_fract_x
_atom_site_fract_y
_atom_site_fract_z
Pu1 0.0000 0.0000 0.0000
V1 0.3333 0.6667 0.5009
Ni1 0.6667 0.3333 0.4976
```

DOS(E_F)   5.27 states/eV/cell
Magnetization   0.7 μB/cell

---

Model ii:
# PuVNi

A geometry-optimized PuVNi structure (PBE-GGA, the Alexandria database).

Structure (CIF):
```
data_PuVNi
_space_group_name_H-M_alt 'P 1'
_space_group_IT_number 1
_cell_length_a 6.5529
_cell_length_b 5.9910
_cell_length_c 4.2743
_cell_angle_alpha 77.34
_cell_angle_beta 63.13
_cell_angle_gamma 39.53
loop_
_space_group_symop_operation_xyz
'x,y,z'
loop_
_atom_site_label
_atom_site_fract_x
_atom_site_fract_y
_atom_site_fract_z
Pu1 0.1670 0.8330 0.1670
Pu2 0.8330 0.1670 0.8330
V1 0.2500 0.2500 0.2500
V2 0.7500 0.7500 0.7500
Ni1 0.3818 0.3818 0.6182
Ni2 0.6182 0.6182 0.3818
```

DOS(E_F)   10.50 states/eV/cell
Magnetization   5.5 μB/cell

---

Model iii:
# PuVNi

A geometry-optimized PuVNi structure (PBE-GGA, the Alexandria database).

Structure (CIF):
```
data_PuVNi
_space_group_name_H-M_alt 'P 1'
_space_group_IT_number 1
_cell_length_a 6.9431
_cell_length_b 6.9431
_cell_length_c 6.9431
_cell_angle_alpha 159.25
_cell_angle_beta 159.25
_cell_angle_gamma 29.51
loop_
_space_group_symop_operation_xyz
'x,y,z'
loop_
_atom_site_label
_atom_site_fract_x
_atom_site_fract_y
_atom_site_fract_z
Pu1 0.0000 0.0000 0.0000
V1 0.6883 0.6883 0.0000
Ni1 0.3251 0.3251 0.0000
```

DOS(E_F)   5.96 states/eV/cell
Magnetization   0.0 μB/cell

---

What should be chosen as the least stable of them? Choose model i.

---

Model i:
# PuZnNi

A geometry-optimized PuZnNi structure (PBE-GGA, the Alexandria database).

Structure (CIF):
```
data_PuZnNi
_space_group_name_H-M_alt 'P 1'
_space_group_IT_number 1
_cell_length_a 4.4287
_cell_length_b 4.4287
_cell_length_c 4.4287
_cell_angle_alpha 60.00
_cell_angle_beta 60.00
_cell_angle_gamma 60.00
loop_
_space_group_symop_operation_xyz
'x,y,z'
loop_
_atom_site_label
_atom_site_fract_x
_atom_site_fract_y
_atom_site_fract_z
Pu1 0.0000 0.0000 0.0000
Zn1 0.5000 0.5000 0.5000
Ni1 0.7500 0.7500 0.7500
```

DOS(E_F)   11.65 states/eV/cell
Magnetization   5.5 μB/cell

---

Model ii:
# PuZnNi

A geometry-optimized PuZnNi structure (PBE-GGA, the Alexandria database).

Structure (CIF):
```
data_PuZnNi
_space_group_name_H-M_alt 'P 1'
_space_group_IT_number 1
_cell_length_a 4.4819
_cell_length_b 4.4819
_cell_length_c 3.0279
_cell_angle_alpha 90.00
_cell_angle_beta 90.00
_cell_angle_gamma 120.00
loop_
_space_group_symop_operation_xyz
'x,y,z'
loop_
_atom_site_label
_atom_site_fract_x
_atom_site_fract_y
_atom_site_fract_z
Pu1 0.0000 0.0000 0.0000
Zn1 0.6667 0.3333 0.5000
Ni1 0.3333 0.6667 0.5000
```

DOS(E_F)   10.33 states/eV/cell
Magnetization   5.5 μB/cell

---

What should be chosen as the least stable of them? Choose model i.

---

Model i:
# PuZnNi

A geometry-optimized PuZnNi structure (PBE-GGA, the Alexandria database).

Structure (CIF):
```
data_PuZnNi
_space_group_name_H-M_alt 'P 1'
_space_group_IT_number 1
_cell_length_a 5.8971
_cell_length_b 5.8971
_cell_length_c 5.8971
_cell_angle_alpha 149.93
_cell_angle_beta 149.93
_cell_angle_gamma 43.05
loop_
_space_group_symop_operation_xyz
'x,y,z'
loop_
_atom_site_label
_atom_site_fract_x
_atom_site_fract_y
_atom_site_fract_z
Pu1 0.0000 0.0000 0.0000
Zn1 0.7101 0.7101 0.0000
Ni1 0.3254 0.3254 0.0000
```

DOS(E_F)   6.62 states/eV/cell
Magnetization   5.5 μB/cell

---

Model ii:
# PuZnNi

A geometry-optimized PuZnNi structure (PBE-GGA, the Alexandria database).

Structure (CIF):
```
data_PuZnNi
_space_group_name_H-M_alt 'P 1'
_space_group_IT_number 1
_cell_length_a 6.7995
_cell_length_b 4.0348
_cell_length_c 11.6350
_cell_angle_alpha 90.00
_cell_angle_beta 90.78
_cell_angle_gamma 90.00
loop_
_space_group_symop_operation_xyz
'x,y,z'
loop_
_atom_site_label
_atom_site_fract_x
_atom_site_fract_y
_atom_site_fract_z
Pu1 0.0285 0.2500 0.2863
Pu2 0.3505 0.7500 0.9196
Pu3 0.4690 0.7500 0.6238
Pu4 0.5310 0.2500 0.3762
Pu5 0.6495 0.2500 0.0804
Pu6 0.9715 0.7500 0.7137
Zn1 0.0012 0.2500 0.9174
Zn2 0.1406 0.2500 0.5398
Zn3 0.3546 0.7500 0.2012
Zn4 0.6454 0.2500 0.7988
Zn5 0.8594 0.7500 0.4602
Zn6 0.9988 0.7500 0.0826
Ni1 0.2333 0.7500 0.4164
Ni2 0.2347 0.2500 0.0872
Ni3 0.2652 0.2500 0.7541
Ni4 0.7348 0.7500 0.2459
Ni5 0.7653 0.7500 0.9128
Ni6 0.7667 0.2500 0.5836
```

DOS(E_F)   59.77 states/eV/cell
Magnetization   32.5 μB/cell

---

Model iii:
# PuZnNi

A geometry-optimized PuZnNi structure (PBE-GGA, the Alexandria database).

Structure (CIF):
```
data_PuZnNi
_space_group_name_H-M_alt 'P 1'
_space_group_IT_number 1
_cell_length_a 5.2613
_cell_length_b 4.6759
_cell_length_c 5.2675
_cell_angle_alpha 90.00
_cell_angle_beta 101.42
_cell_angle_gamma 90.00
loop_
_space_group_symop_operation_xyz
'x,y,z'
loop_
_atom_site_label
_atom_site_fract_x
_atom_site_fract_y
_atom_site_fract_z
Pu1 0.2063 0.0000 0.2934
Pu2 0.7937 0.0000 0.7066
Zn1 0.2621 0.5000 0.7598
Zn2 0.7379 0.5000 0.2402
Ni1 0.3140 0.0000 0.8137
Ni2 0.6860 0.0000 0.1863
```

DOS(E_F)   19.34 states/eV/cell
Magnetization   10.9 μB/cell

---

What should be chosen as the least stable of them? Choose model iii.